{"formula": "PaTl2SnS4", "functional": "PBE", "state": "optimized geometry", "lattice": [[7.277, 0.000, 0.000], [0.000, 4.099, 0.000], [-2.260, 0.000, 7.450]], "species": ["Pa", "Tl", "Tl", "Sn", "S", "S", "S", "S"], "frac_coords": [[0.000, 0.000, 0.000], [0.000, 0.500, 0.500], [0.500, 0.000, 0.500], [0.500, 0.500, 0.000], [0.216, 0.500, 0.196], [0.245, 0.000, 0.800], [0.755, 0.000, 0.200], [0.784, 0.500, 0.804]], "e_tot_ev_per_fu": -41.676, "formation_energy_uncorrected_kj_per_mol_atoms": -83.6}

{"formula": "NaCd4Bi", "functional": "PBE", "state": "optimized geometry", "lattice": [[3.211, -8.146, 0.000], [3.211, 8.146, 0.000], [-0.006, 0.000, 5.967]], "species": ["Na", "Na", "Cd", "Cd", "Cd", "Cd", "Cd", "Cd", "Cd", "Cd", "Bi", "Bi"], "frac_coords": [[0.162, 0.838, 0.750], [0.838, 0.162, 0.250], [0.096, 0.419, 0.750], [0.243, 0.243, 0.000], [0.243, 0.243, 0.500], [0.419, 0.096, 0.250], [0.581, 0.904, 0.750], [0.757, 0.757, 0.000], [0.757, 0.757, 0.500], [0.904, 0.581, 0.250], [0.329, 0.671, 0.250], [0.671, 0.329, 0.750]], "e_tot_ev_per_fu": -9.101, "delta_e_f_mev_per_atom": -40}

{"formula": "PmErZnNi", "functional": "PBE", "state": "optimized geometry", "lattice": [[7.011, 0.000, 0.000], [0.000, 7.011, 0.000], [0.000, 0.000, 7.011]], "species": ["Pm", "Pm", "Pm", "Pm", "Er", "Er", "Er", "Er", "Zn", "Zn", "Zn", "Zn", "Ni", "Ni", "Ni", "Ni"], "frac_coords": [[0.000, 0.000, 0.000], [0.000, 0.500, 0.500], [0.500, 0.000, 0.500], [0.500, 0.500, 0.000], [0.000, 0.000, 0.500], [0.000, 0.500, 0.000], [0.500, 0.000, 0.000], [0.500, 0.500, 0.500], [0.250, 0.250, 0.250], [0.250, 0.750, 0.750], [0.750, 0.250, 0.750], [0.750, 0.750, 0.250], [0.250, 0.250, 0.750], [0.250, 0.750, 0.250], [0.750, 0.250, 0.250], [0.750, 0.750, 0.750]], "e_tot_ev_per_fu": -17.608, "delta_e_f_mev_per_atom": -310}

{"formula": "Hf3Mn2Os", "functional": "PBE", "state": "optimized geometry", "lattice": [[3.201, 0.000, 0.000], [0.000, 3.201, 0.000], [0.000, 0.000, 9.588]], "species": ["Hf", "Hf", "Hf", "Mn", "Mn", "Os"], "frac_coords": [[0.000, 0.000, 0.000], [0.000, 0.000, 0.328], [0.000, 0.000, 0.672], [0.500, 0.500, 0.163], [0.500, 0.500, 0.837], [0.500, 0.500, 0.500]], "e_tot_ev_per_fu": -61.407, "delta_e_f_mev_per_atom": -330}

{"formula": "Li2ZnPt", "functional": "PBE", "state": "optimized geometry", "lattice": [[5.113, 0.000, 0.000], [0.000, 8.620, 0.000], [-1.045, 0.000, 2.577]], "species": ["Li", "Li", "Li", "Li", "Zn", "Zn", "Pt", "Pt"], "frac_coords": [[0.250, 0.250, 0.000], [0.250, 0.750, 0.000], [0.750, 0.250, 0.000], [0.750, 0.750, 0.000], [0.000, 0.000, 0.500], [0.500, 0.500, 0.500], [0.000, 0.500, 0.500], [0.500, 0.000, 0.500]], "e_tot_ev_per_fu": -12.873, "delta_e_f_mev_per_atom": -433}

{"formula": "PaMo6Se8", "functional": "PBE", "state": "optimized geometry", "lattice": [[4.726, 2.729, 3.987], [-4.726, 2.729, 3.987], [0.000, -5.457, 3.987]], "species": ["Pa", "Mo", "Mo", "Mo", "Mo", "Mo", "Mo", "Se", "Se", "Se", "Se", "Se", "Se", "Se", "Se"], "frac_coords": [[0.000, 0.000, 0.000], [0.233, 0.560, 0.425], [0.425, 0.233, 0.560], [0.440, 0.575, 0.767], [0.560, 0.425, 0.233], [0.575, 0.767, 0.440], [0.767, 0.440, 0.575], [0.122, 0.369, 0.760], [0.238, 0.238, 0.238], [0.240, 0.878, 0.631], [0.369, 0.760, 0.122], [0.631, 0.240, 0.878], [0.760, 0.122, 0.369], [0.762, 0.762, 0.762], [0.878, 0.631, 0.240]], "e_tot_ev_per_fu": -111.842, "formation_energy_uncorrected_kj_per_mol_atoms": -61.0}

no.,DOS at the Fermi energy (states/eV/f.u.)
1,4.23
2,2.22
3,3.00
4,4.96
5,1.00
6,7.85